Computed, not measured: RbTiGe2W after structural relaxation at the PBE level of DFT.

Values from the calculation:
Formation enthalpy at 0 K in kJ/mol of formula units: 238
Total moment in μB/f.u.: 0.0
Space-group type: No. 123

POSCAR file:
```
RbTiGe2W
1.0
5.0433 0.0000 0.0000
0.0000 4.9402 0.0000
0.0000 0.0000 5.0433
Rb Ti Ge W
1 1 2 1
direct
0.5000 0.5000 0.5000
0.0000 0.5000 0.0000
0.5000 0.0000 0.0000
0.0000 0.0000 0.5000
0.0000 0.0000 0.0000
```



Computed, not measured: Li2CeAlSe4 after structural relaxation at the PBE level of DFT.

Values from the calculation:
ΔE_f (raw) in eV per atom: -1.256
Total moment in μB/f.u.: 1.0
Space-group type: No. 31

POSCAR file:
```
Li2CeAlSe4
1.0
-5.3821 -2.3474 2.2238
-2.3732 -1.0646 -6.8673
3.6869 -8.4231 0.0317
Li Al Se Ce
4 2 8 2
direct
0.4805 0.3283 0.7451
0.9805 0.6717 0.7549
0.9805 0.6717 0.2451
0.4805 0.3283 0.2549
0.0068 0.1807 0.0000
0.5068 0.8193 0.5000
0.3890 0.6691 0.7172
0.8890 0.3309 0.7828
0.4282 0.1452 0.5000
0.9282 0.8548 0.0000
0.8890 0.3309 0.2172
0.3875 0.2143 0.0000
0.8875 0.7857 0.5000
0.3890 0.6691 0.2828
0.9384 0.1698 0.5000
0.4384 0.8302 0.0000
```



Computed, not measured: TlAg2Pb after structural relaxation at the PBE level of DFT.

Values from the calculation:
Formation enthalpy at 0 K in kJ/mol of formula units: 50
Total moment in μB/f.u.: 0.0
Space-group type: No. 225
ΔE to the lowest computed polymorph in kJ/mol of formula units: 18

POSCAR file:
```
TlAg2Pb
1.0
-3.3736 -2.1115 3.2523
-1.9482 2.7901 3.8519
-4.9304 1.4476 -0.1131
Pb Ag Tl
1 2 1
direct
0.5000 0.5000 0.5000
0.7500 0.7500 0.7500
0.2500 0.2500 0.2500
0.0000 0.0000 0.0000
```